No. 1
{"formula": "ErTiTcRh", "functional": "PBE-GGA", "state": "optimized geometry", "lattice": [[4.5832, 0.0000, 0.0000], [2.2916, 3.9692, 0.0000], [2.2916, 1.3231, 3.7422]], "species": ["Ti", "Rh", "Tc", "Er"], "fractional_positions": [[0.0000, 0.0000, 0.0000], [0.7500, 0.7500, 0.7500], [0.2500, 0.2500, 0.2500], [0.5000, 0.5000, 0.5000]], "total_magnetization_mub_per_atom": 0.00, "spacegroup": "F-43m", "dft_energy_ev_per_atom": -8.029, "dos_ef_per_ev_cell": 3.472, "formation_energy_ev_per_atom": -0.485}

No. 2
{"formula": "K2BeZn", "functional": "PBE-GGA", "state": "optimized geometry", "lattice": [[10.2048, -0.0768, -0.0456], [9.3415, 4.1086, -0.0456], [9.3415, 1.9269, 3.6291]], "species": ["Be", "Zn", "K", "K"], "fractional_positions": [[0.7500, 0.7500, 0.7500], [0.2500, 0.2500, 0.2500], [0.0057, 0.0057, 0.0057], [0.4943, 0.4943, 0.4943]], "polymorph_energy_ev_per_atom": 0.434, "total_magnetization_mub_per_atom": 0.01, "spacegroup": "R-3m", "dft_energy_ev_per_atom": -0.994, "dos_ef_per_ev_cell": 4.184, "formation_energy_ev_per_atom": 0.805}